# RbPtBr2 (PBE, relaxed)
data_RbPtBr2
_cell_length_a 6.305
_cell_length_b 6.305
_cell_length_c 15.180
_cell_angle_alpha 90.00
_cell_angle_beta 90.00
_cell_angle_gamma 90.00
_space_group_name_H-M_alt 'I -4 2 d'
_space_group_IT_number 122
_space_group_name_Hall 'I -4 2bw'
loop_
_atom_site_label
_atom_site_type_symbol
_atom_site_fract_x
_atom_site_fract_y
_atom_site_fract_z
Rb1 Rb 0.000 0.000 0.000
Pt1 Pt 0.000 0.000 0.500
Br1 Br 0.123 0.250 0.625
# Mass density (kg/m³): 4847
# Energy relative to the lowest polymorph listed for this composition (meV per atom): 15

# RbIrRu (PBE, relaxed)
data_RbIrRu
_cell_length_a 4.210
_cell_length_b 4.212
_cell_length_c 12.232
_cell_angle_alpha 87.11
_cell_angle_beta 81.84
_cell_angle_gamma 64.98
_space_group_name_H-M_alt 'P 1'
_space_group_IT_number 1
_space_group_name_Hall 'P 1'
loop_
_atom_site_label
_atom_site_type_symbol
_atom_site_fract_x
_atom_site_fract_y
_atom_site_fract_z
Rb1 Rb 0.000 0.000 0.000
Rb2 Rb 0.392 0.370 0.607
Ir1 Ir 0.229 0.342 0.213
Ir2 Ir 0.575 0.688 0.213
Ru1 Ru 0.156 0.020 0.387
Ru2 Ru 0.829 0.692 0.387
# Mass density (kg/m³): 6464
# Energy relative to the lowest polymorph listed for this composition (meV per atom): 120

# Dy5Co2Sb (PBE, relaxed)
data_Dy5Co2Sb
_cell_length_a 7.632
_cell_length_b 7.632
_cell_length_c 13.242
_cell_angle_alpha 90.00
_cell_angle_beta 90.00
_cell_angle_gamma 90.00
_space_group_name_H-M_alt 'I 4/m c m'
_space_group_IT_number 140
_space_group_name_Hall '-I 4 2c'
loop_
_atom_site_label
_atom_site_type_symbol
_atom_site_fract_x
_atom_site_fract_y
_atom_site_fract_z
Dy1 Dy 0.000 0.000 0.000
Dy2 Dy 0.158 0.342 0.133
Co1 Co 0.136 0.364 0.500
Sb1 Sb 0.000 0.000 0.250
# Mass density (kg/m³): 9060
# Energy (eV/atom): -5.596

# AlCoPt2 (PBE, relaxed)
data_AlCoPt2
_cell_length_a 5.540
_cell_length_b 7.210
_cell_length_c 2.800
_cell_angle_alpha 90.00
_cell_angle_beta 90.00
_cell_angle_gamma 90.00
_space_group_name_H-M_alt 'C m m m'
_space_group_IT_number 65
_space_group_name_Hall '-C 2 2'
loop_
_atom_site_label
_atom_site_type_symbol
_atom_site_fract_x
_atom_site_fract_y
_atom_site_fract_z
Al1 Al 0.000 0.000 0.000
Co1 Co 0.000 0.500 0.000
Pt1 Pt 0.250 0.250 0.500
# Mass density (kg/m³): 14138
# Energy (eV/atom): -6.299

# Er8CdCu2 (PBE, relaxed)
data_Er8CdCu2
_cell_length_a 18.026
_cell_length_b 3.600
_cell_length_c 9.203
_cell_angle_alpha 90.00
_cell_angle_beta 101.42
_cell_angle_gamma 90.00
_space_group_name_H-M_alt 'C 1 2/m 1'
_space_group_IT_number 12
_space_group_name_Hall '-C 2y'
loop_
_atom_site_label
_atom_site_type_symbol
_atom_site_fract_x
_atom_site_fract_y
_atom_site_fract_z
Er1 Er 0.025 0.000 0.195
Er2 Er 0.134 0.000 0.666
Er3 Er 0.146 0.500 0.995
Er4 Er 0.183 0.500 0.377
Cd1 Cd 0.000 0.500 0.500
Cu1 Cu 0.246 0.000 0.204
# Mass density (kg/m³): 8952
# Energy relative to the lowest polymorph listed for this composition (meV per atom): 0

# InTc2Os (PBE, relaxed)
data_InTc2Os
_cell_length_a 2.838
_cell_length_b 2.838
_cell_length_c 7.919
_cell_angle_alpha 90.00
_cell_angle_beta 90.00
_cell_angle_gamma 90.00
_space_group_name_H-M_alt 'P 4/m m m'
_space_group_IT_number 123
_space_group_name_Hall '-P 4 2'
loop_
_atom_site_label
_atom_site_type_symbol
_atom_site_fract_x
_atom_site_fract_y
_atom_site_fract_z
In1 In 0.000 0.000 0.000
Tc1 Tc 0.500 0.500 0.274
Os1 Os 0.000 0.000 0.500
# Mass density (kg/m³): 13048
# Energy (eV/atom): -8.463